The following is a DFT calculation (PBE+U) of crystalline LiVBiF6 at its relaxed geometry.

## Properties
Space-group type: P-31c, No. 163
E: -5.36 eV/atom
D(E_F): 0.00 states/eV per cell

Cell: 5.3649 5.3649 10.0208 Å, 90.00 90.00 120.00°
Site moments in Bohr magnetons follow the coordinates.
Sites, in units of the cell vectors:
F: 0.6506 0.9944 0.8646  0.00
F: 0.3494 0.0056 0.1354  0.00
F: 0.3438 0.3494 0.8646  0.00
V: 0.3333 0.6667 0.2500  2.76
F: 0.6562 0.0056 0.3646  0.00
F: 0.3438 0.9944 0.6354  0.00
Li: 0.3333 0.6667 0.7500  0.00
F: 0.0056 0.3494 0.6354  0.00
Li: 0.6667 0.3333 0.2500  0.00
F: 0.6562 0.6506 0.1354  0.00
F: 0.0056 0.6562 0.8646  0.00
F: 0.6506 0.6562 0.6354  0.00
F: 0.9944 0.6506 0.3646  0.00
F: 0.3494 0.3438 0.3646  0.00
F: 0.9944 0.3438 0.1354  0.00
V: 0.6667 0.3333 0.7500  2.76
Bi: 0.0000 0.0000 0.0000  0.02
Bi: 0.0000 0.0000 0.5000  0.02